Record 1
Here is a geometry-optimized Hf3ReMo structure from Alexandria via LeMat-Bulk. Energies are from GGA-PBEsol.

Properties
Fermi-level density of states: 1.4835 states/eV/atom
final energy: -9.9133 eV/atom

abc: 4.774 4.774 4.774
angles: 90.00 90.00 90.00
Element x y z (fractional)
Hf1 0.000 0.500 0.000
Hf2 0.000 0.000 0.500
Hf3 0.500 0.000 0.000
Re1 0.500 0.500 0.500
Mo1 0.000 0.000 0.000

---

Record 2
Here is a geometry-optimized Ti3In structure from Alexandria via LeMat-Bulk. Energies are from GGA-PBEsol.

Properties
Fermi-level density of states: 0.9282 states/eV/atom
final energy: -7.1473 eV/atom

abc: 4.014 4.014 5.161
angles: 112.88 112.88 90.00
Element x y z (fractional)
Ti1 0.750 0.250 0.500
Ti2 0.500 0.500 0.000
Ti3 0.250 0.750 0.500
In1 0.000 0.000 0.000

---

Record 3
Here is a geometry-optimized NiAuI2O structure from Alexandria via LeMat-Bulk. Energies are from GGA-PBEsol.

Properties
Fermi-level density of states: 1.4395 states/eV/atom
final energy: -3.0615 eV/atom
formation energy without anion corrections: 0.71 eV/atom

abc: 3.870 5.548 5.548
angles: 90.00 90.00 90.00
Element x y z (fractional)
I1 0.000 0.000 0.500
I2 0.000 0.500 0.000
Au1 0.000 0.000 0.000
Ni1 0.500 0.500 0.500
O1 0.500 0.000 0.000

---

> What is the formula in the first record?

Hf3ReMo

---

> What is the Fermi-level density of states in the second record?

0.9282 states/eV/atom

---

> Which of these has the highest Fermi-level density of states?

Hf3ReMo